A plane-wave DFT calculation with GGA-PBE was carried out for BaTlIr2 after structural relaxation.

Structure (CIF):
```
data_BaTlIr2
_chemical_formula_sum 'Ba3 Tl3 Ir6'
_symmetry_space_group_name_H-M 'R -3 m'
_symmetry_Int_Tables_number 166
_symmetry_space_group_name_Hall '-R 3 2"'
_cell_length_a 3.4102
_cell_length_b 3.4102
_cell_length_c 27.0750
_cell_angle_alpha 90.00
_cell_angle_beta 90.00
_cell_angle_gamma 120.00
loop_
_atom_site_label
_atom_site_type_symbol
_atom_site_fract_x
_atom_site_fract_y
_atom_site_fract_z
_atom_site_occupancy
Ba1 Ba 0.0000 0.0000 0.0000 1
Tl1 Tl 0.0000 0.0000 0.5000 1
Ir1 Ir 0.0000 0.0000 0.2409 1
```

Formation enthalpy at 0 K   0.80 eV per atom
D(E_F)   0.97 states/eV/atom

---

A plane-wave DFT calculation with GGA-PBE was carried out for TlGa3O after structural relaxation.

Structure (CIF):
```
data_TlGa3O
_chemical_formula_sum 'Tl1 Ga3 O1'
_symmetry_space_group_name_H-M 'P m -3 m'
_symmetry_Int_Tables_number 221
_symmetry_space_group_name_Hall '-P 4 2 3'
_cell_length_a 4.6086
_cell_length_b 4.6086
_cell_length_c 4.6086
_cell_angle_alpha 90.00
_cell_angle_beta 90.00
_cell_angle_gamma 90.00
loop_
_atom_site_label
_atom_site_type_symbol
_atom_site_fract_x
_atom_site_fract_y
_atom_site_fract_z
_atom_site_occupancy
Tl1 Tl 0.0000 0.0000 0.0000 1
Ga1 Ga 0.0000 0.5000 0.5000 1
O1 O 0.5000 0.5000 0.5000 1
```

D(E_F)   0.68 states/eV/atom
ΔE to the lowest computed polymorph   0 meV per atom
Uncorrected formation energy   -0.15 eV/atom

---

A plane-wave DFT calculation with GGA-PBE was carried out for CdInAg2Sb after structural relaxation.

Structure (CIF):
```
data_CdInAg2Sb
_chemical_formula_sum 'Cd1 In1 Ag2 Sb1'
_symmetry_space_group_name_H-M 'P 4/m m m'
_symmetry_Int_Tables_number 123
_symmetry_space_group_name_Hall '-P 4 2'
_cell_length_a 5.2409
_cell_length_b 5.2409
_cell_length_c 5.8288
_cell_angle_alpha 90.00
_cell_angle_beta 90.00
_cell_angle_gamma 90.00
loop_
_atom_site_label
_atom_site_type_symbol
_atom_site_fract_x
_atom_site_fract_y
_atom_site_fract_z
_atom_site_occupancy
Cd1 Cd 0.0000 0.0000 0.0000 1
In1 In 0.5000 0.5000 0.0000 1
Ag1 Ag 0.0000 0.5000 0.5000 1
Sb1 Sb 0.0000 0.0000 0.5000 1
```

D(E_F)   0.50 states/eV/atom
Uncorrected formation energy   0.37 eV/atom

---

A plane-wave DFT calculation with GGA-PBE was carried out for NpTlZnAu after structural relaxation.

Structure (CIF):
```
data_NpTlZnAu
_chemical_formula_sum 'Np4 Tl4 Zn4 Au4'
_symmetry_space_group_name_H-M 'F -4 3 m'
_symmetry_Int_Tables_number 216
_symmetry_space_group_name_Hall 'F -4 2 3'
_cell_length_a 7.0695
_cell_length_b 7.0695
_cell_length_c 7.0695
_cell_angle_alpha 90.00
_cell_angle_beta 90.00
_cell_angle_gamma 90.00
loop_
_atom_site_label
_atom_site_type_symbol
_atom_site_fract_x
_atom_site_fract_y
_atom_site_fract_z
_atom_site_occupancy
Np1 Np 0.0000 0.0000 0.0000 1
Tl1 Tl 0.0000 0.0000 0.5000 1
Zn1 Zn 0.2500 0.2500 0.2500 1
Au1 Au 0.2500 0.2500 0.7500 1
```

Formation enthalpy at 0 K   0.05 eV per atom
D(E_F)   1.84 states/eV/atom

---

A plane-wave DFT calculation with GGA-PBE was carried out for Hf2ZnCo after structural relaxation.

Structure (CIF):
```
data_Hf2ZnCo
_chemical_formula_sum 'Hf6 Zn3 Co3'
_symmetry_space_group_name_H-M 'R -3 m'
_symmetry_Int_Tables_number 166
_symmetry_space_group_name_Hall '-R 3 2"'
_cell_length_a 3.3359
_cell_length_b 3.3359
_cell_length_c 26.7143
_cell_angle_alpha 90.00
_cell_angle_beta 90.00
_cell_angle_gamma 120.00
loop_
_atom_site_label
_atom_site_type_symbol
_atom_site_fract_x
_atom_site_fract_y
_atom_site_fract_z
_atom_site_occupancy
Hf1 Hf 0.0000 0.0000 0.1075 1
Zn1 Zn 0.0000 0.0000 0.0000 1
Co1 Co 0.0000 0.0000 0.5000 1
```

Formation enthalpy at 0 K   0.29 eV per atom
D(E_F)   0.84 states/eV/atom
ΔE to the lowest computed polymorph   566 meV per atom

---

A plane-wave DFT calculation with GGA-PBE was carried out for MoPt3 after structural relaxation.

Structure (CIF):
```
data_MoPt3
_chemical_formula_sum 'Mo3 Pt9'
_symmetry_space_group_name_H-M 'R -3 m'
_symmetry_Int_Tables_number 166
_symmetry_space_group_name_Hall '-R 3 2"'
_cell_length_a 8.9692
_cell_length_b 8.9692
_cell_length_c 2.7234
_cell_angle_alpha 90.00
_cell_angle_beta 90.00
_cell_angle_gamma 120.00
loop_
_atom_site_label
_atom_site_type_symbol
_atom_site_fract_x
_atom_site_fract_y
_atom_site_fract_z
_atom_site_occupancy
Mo1 Mo 0.0000 0.0000 0.0000 1
Pt1 Pt 0.0000 0.5000 0.0000 1
```

Formation enthalpy at 0 K   0.03 eV per atom
D(E_F)   1.05 states/eV/atom

---

Q: Which value of D(E_F) does entry 1 give?
A: 0.97 states/eV/atom